DFT (PBE+U) results for an optimized crystal structure of RbSrCoF6.

Cell: 7.4131 7.4131 7.4131 Å, 119.86 114.43 95.08°
Closest atoms and distances in Å follow each position.
Sites, in units of the cell vectors:
Rb1 0.3451 0.0951 0.2500  5 F 2.78-2.99
Rb2 0.6549 0.9049 0.7500  5 F 2.78-2.99
Sr1 0.0000 0.5000 0.5000  6 F 2.38-2.55
Sr2 0.5000 0.5000 0.0000  6 F 2.38-2.55
Co1 0.0000 0.0000 0.5000  6 F 1.85-1.96
Co2 0.0000 0.5000 0.0000  6 F 1.85-1.96
F1 0.0354 0.3360 0.1273  1 Co 1.85
F2 0.0354 0.9081 0.6994  1 Co 1.85
F3 0.0614 0.3114 0.7500  2 Co 1.96
F4 0.2912 0.0919 0.6273  1 Co 1.85
F5 0.2912 0.6640 0.1994  1 Co 1.85
F6 0.3769 0.6269 0.7500  2 Sr 2.38
F7 0.6231 0.3731 0.2500  2 Sr 2.38
F8 0.7088 0.3360 0.8006  1 Co 1.85
F9 0.7088 0.9081 0.3727  1 Co 1.85
F10 0.9386 0.6886 0.2500  2 Co 1.96
F11 0.9646 0.0919 0.3006  1 Co 1.85
F12 0.9646 0.6640 0.8727  1 Co 1.85

Values from the calculation:
Total magnetic moment: 0.174 Bohr magnetons per cell
Raw total energy: -4.8865 eV/atom
D(E_F): 0.00 states/eV per atom